(w)
{"formula": "BaHf3In", "functional": "PBE-GGA", "state": "optimized geometry", "lattice_angstrom": [[5.299, 0.000, 0.000], [0.000, 5.299, 0.000], [0.000, 0.000, 5.299]], "species": ["Hf", "Hf", "Hf", "Ba", "In"], "fractional_positions": [[0.500, 0.000, 0.000], [0.000, 0.500, 0.000], [0.000, 0.000, 0.500], [0.000, 0.000, 0.000], [0.500, 0.500, 0.500]]}

(x)
{"formula": "BaHf3In", "functional": "PBE-GGA", "state": "optimized geometry", "lattice_angstrom": [[-4.227, -3.327, -0.867], [0.514, -1.969, 5.054], [-3.399, 3.839, 1.842]], "species": ["Ba", "Hf", "Hf", "Hf", "In"], "fractional_positions": [[0.500, 0.500, 0.500], [0.500, 0.000, 0.000], [0.000, 0.500, 0.000], [0.000, 0.000, 0.500], [0.000, 0.000, 0.000]]}

Top of the stability list: (x), leading by 0.829 eV/atom.

(w)
{"formula": "Ba2HfIr", "functional": "PBE-GGA", "state": "optimized geometry", "lattice_angstrom": [[0.000, 3.898, 3.898], [3.898, 0.000, 3.898], [3.898, 3.898, 0.000]], "species": ["Ba", "Ba", "Ir", "Hf"], "fractional_positions": [[0.750, 0.750, 0.750], [0.250, 0.250, 0.250], [0.500, 0.500, 0.500], [0.000, 0.000, 0.000]]}

(x)
{"formula": "Ba2HfIr", "functional": "PBE-GGA", "state": "optimized geometry", "lattice_angstrom": [[-2.455, 3.822, -11.041], [9.034, -6.534, -4.270], [1.743, -3.282, -7.979]], "species": ["Ba", "Ba", "Ba", "Ba", "Hf", "Hf", "Ir", "Ir"], "fractional_positions": [[0.375, 0.213, 0.750], [0.875, 0.037, 0.750], [0.787, 0.125, 0.250], [0.963, 0.625, 0.250], [0.500, 0.500, 0.000], [0.250, 0.750, 0.500], [0.750, 0.250, 0.500], [0.000, 0.000, 0.000]]}

Top of the stability list: (x), leading by 0.663 eV/atom.

(w)
{"formula": "K3BaHf", "functional": "PBE-GGA", "state": "optimized geometry", "lattice_angstrom": [[-1.911, 5.411, -3.735], [-6.564, -1.794, 0.759], [-0.378, 3.792, 5.688]], "species": ["Hf", "K", "K", "K", "Ba"], "fractional_positions": [[0.000, 0.000, 0.000], [0.500, 0.000, 0.000], [0.000, 0.500, 0.000], [0.000, 0.000, 0.500], [0.500, 0.500, 0.500]]}

(x)
{"formula": "K3BaHf", "functional": "PBE-GGA", "state": "optimized geometry", "lattice_angstrom": [[6.940, 0.000, 0.000], [0.000, 6.940, 0.000], [0.000, 0.000, 6.940]], "species": ["Ba", "K", "K", "K", "Hf"], "fractional_positions": [[0.000, 0.000, 0.000], [0.000, 0.500, 0.000], [0.000, 0.000, 0.500], [0.500, 0.000, 0.000], [0.500, 0.500, 0.500]]}

Top of the stability list: (w), leading by 0.479 eV/atom.

(w)
{"formula": "KBa3Hf", "functional": "PBE-GGA", "state": "optimized geometry", "lattice_angstrom": [[6.366, 0.000, 0.000], [0.000, 6.366, 0.000], [0.000, 0.000, 6.366]], "species": ["Ba", "Ba", "Ba", "K", "Hf"], "fractional_positions": [[0.500, 0.000, 0.000], [0.000, 0.500, 0.000], [0.000, 0.000, 0.500], [0.000, 0.000, 0.000], [0.500, 0.500, 0.500]]}

(x)
{"formula": "KBa3Hf", "functional": "PBE-GGA", "state": "optimized geometry", "lattice_angstrom": [[-0.222, -6.252, -2.360], [1.408, -2.353, 6.098], [-6.533, -0.295, 1.394]], "species": ["K", "Hf", "Ba", "Ba", "Ba"], "fractional_positions": [[0.500, 0.500, 0.500], [0.000, 0.000, 0.000], [0.000, 0.000, 0.500], [0.500, 0.000, 0.000], [0.000, 0.500, 0.000]]}

Top of the stability list: (x), leading by 0.671 eV/atom.